RhW3 | PBE | relaxed

Crystal system: orthorhombic
Theoretical density in g/cm³: 17.239

Structure (extended XYZ):
```
16
Lattice="-5.4241 -6.7202 1.9913 3.9296 -4.0902 -3.0996 2.2263 -0.6906 3.7337" Properties=species:S:1:pos:R:3 pbc="T T T"
Rh -1.1201 -7.7017 0.5414
Rh -0.3735 -2.2963 1.0944
Rh 1.1052 -9.2046 1.5309
Rh 1.8519 -3.7992 2.0840
W 3.7133 -5.7366 0.6162
W 1.9629 -1.7740 -0.2013
W -0.6284 -4.9845 0.7501
W 1.2156 -7.1792 -0.7555
W -1.3757 -10.3897 0.1959
W -0.9632 -7.0517 3.1621
W 1.6950 -4.4492 -0.5367
W 2.1075 -1.1112 2.4295
W -0.4838 -4.3217 3.3808
W 1.3602 -6.5164 1.8753
W -1.2311 -9.7269 2.8267
W -2.9816 -5.7643 2.0092
```

Rh5W | PBE | relaxed

Crystal system: hexagonal
Theoretical density in g/cm³: 13.441
Excess energy over the best structure of this formula in the dataset in meV/atom: 17

Structure (extended XYZ):
```
6
Lattice="-1.5929 1.8799 4.0821 -3.0947 -1.4346 -3.3316 -0.0906 -3.9926 1.8034" Properties=species:S:1:pos:R:3 pbc="T T T"
Rh -1.5899 1.8764 4.0744
Rh -2.1023 0.7759 1.6123
Rh -2.5883 -0.3270 -0.8541
Rh -1.0769 -2.4745 -0.2088
Rh -3.1704 -1.6994 1.4020
W -0.5763 -1.3697 2.2624
```

Rh5W | PBE | relaxed

Crystal system: monoclinic
Theoretical density in g/cm³: 13.353
Excess energy over the best structure of this formula in the dataset in meV/atom: 64

Structure (extended XYZ):
```
6
Lattice="-5.2340 -0.4058 -3.7535 1.6108 -0.3991 -2.2030 -0.3801 -5.0967 -1.0811" Properties=species:S:1:pos:R:3 pbc="T T T"
Rh 1.6001 -0.4222 -2.2066
Rh -3.1267 -4.4685 -4.9297
Rh -3.0843 -2.1156 -3.5984
Rh -0.5406 -1.1255 -3.6444
Rh -0.9003 -3.7750 -3.4274
W -0.0009 -2.3946 -1.2933
```

RhW2 | PBE | relaxed

Crystal system: tetragonal
Theoretical density in g/cm³: 16.236
Excess energy over the best structure of this formula in the dataset in meV/atom: 214

Structure (extended XYZ):
```
6
Lattice="-3.0866 3.0866 2.5258 3.0866 -3.0866 2.5258 3.0866 3.0866 -2.5258" Properties=species:S:1:pos:R:3 pbc="T T T"
Rh 0.0000 0.0000 3.7887
Rh 0.0000 0.0000 1.2629
W 2.1810 0.9056 0.0000
W 2.1810 -0.9056 2.5258
W 0.9056 3.9923 0.0000
W 0.9056 2.1810 2.5258
```

RhW | PBE | relaxed

Crystal system: trigonal
Theoretical density in g/cm³: 15.555

Structure (extended XYZ):
```
4
Lattice="1.3916 -2.4103 0.0000 1.3916 2.4103 0.0000 0.0000 0.0000 9.1262" Properties=species:S:1:pos:R:3 pbc="T T T"
Rh 1.3916 0.8034 7.9563
Rh 1.3916 -0.8034 1.1699
W 1.3916 0.8034 3.3155
W 1.3916 -0.8034 5.8107
```

Rh5W | PBE | relaxed

Crystal system: orthorhombic
Theoretical density in g/cm³: 13.389
Excess energy over the best structure of this formula in the dataset in meV/atom: 51

Structure (extended XYZ):
```
6
Lattice="-2.5194 0.0861 1.1224 -4.1403 -1.4351 -5.7917 0.2488 -4.3042 0.8886" Properties=species:S:1:pos:R:3 pbc="T T T"
Rh -4.1401 -1.4350 -5.7913
Rh -4.4427 -0.9008 -3.1192
Rh -2.2214 -0.4505 -1.5598
Rh -4.9741 -3.3895 -4.1212
Rh -2.7247 -2.9247 -2.4999
W -3.0233 -2.3885 0.1810
```

RhW2 | PBE | relaxed

Crystal system: hexagonal
Theoretical density in g/cm³: 15.789
Excess energy over the best structure of this formula in the dataset in meV/atom: 433

Structure (extended XYZ):
```
12
Lattice="5.2108 0.0000 0.0000 2.6054 4.5127 0.0000 0.0000 0.0000 8.4188" Properties=species:S:1:pos:R:3 pbc="T T T"
Rh 5.2108 3.0085 0.5281
Rh 5.2108 3.0085 3.6813
Rh 2.6054 1.5042 4.7375
Rh 2.6054 1.5042 7.8907
W 0.0000 0.0000 0.0000
W 0.0000 0.0000 4.2094
W 5.2108 1.5357 6.3141
W 3.9353 3.7449 6.3141
W 1.3299 0.7678 2.1047
W 6.4863 3.7449 6.3141
W 3.8809 0.7678 2.1047
W 2.6054 2.9770 2.1047
```

RhW3 | PBE | relaxed

Crystal system: orthorhombic
Theoretical density in g/cm³: 17.209

Structure (extended XYZ):
```
4
Lattice="-1.1162 -2.2228 1.1020 -0.8940 -1.3823 -3.6935 5.0786 -2.6653 -0.2318" Properties=species:S:1:pos:R:3 pbc="T T T"
Rh 0.0000 0.0000 0.0000
W 2.5393 -1.3327 -0.1159
W 0.2265 -2.4489 -1.3520
W 2.8418 -3.8215 -1.4713
```

RhW2 | PBE | relaxed

Crystal system: tetragonal
Theoretical density in g/cm³: 14.162
Excess energy over the best structure of this formula in the dataset in meV/atom: 1102

Structure (extended XYZ):
```
3
Lattice="4.5001 0.0000 0.0000 0.0000 4.5001 0.0000 0.0000 0.0000 2.7247" Properties=species:S:1:pos:R:3 pbc="T T T"
Rh 0.0000 0.0000 0.0000
W 2.2501 0.0000 1.3623
W 0.0000 2.2501 1.3623
```

RhW | PBE | relaxed

Crystal system: tetragonal
Theoretical density in g/cm³: 15.876

Structure (extended XYZ):
```
2
Lattice="2.7212 0.4487 0.0000 -0.4502 2.7210 0.0000 0.0000 0.0000 3.9431" Properties=species:S:1:pos:R:3 pbc="T T T"
Rh 1.1355 1.5848 1.9715
W 0.0000 0.0000 0.0000
```

RhW3 | PBE | relaxed

Crystal system: trigonal
Theoretical density in g/cm³: 17.268

Structure (extended XYZ):
```
4
Lattice="-2.2200 1.1988 4.6062 -0.9186 -4.8011 -1.9206 4.6929 2.1263 -1.0189" Properties=species:S:1:pos:R:3 pbc="T T T"
Rh 0.0000 0.0000 0.0000
W 1.2365 1.6625 1.7936
W 1.8871 -1.3374 -1.4698
W -1.5693 -1.8011 1.3428
```

Rh8W | PBE | relaxed

Crystal system: tetragonal
Theoretical density in g/cm³: 12.960

Structure (extended XYZ):
```
9
Lattice="-2.6798 -2.7537 -0.2844 0.4976 -2.6128 -5.4888 5.0698 -2.4775 2.3151" Properties=species:S:1:pos:R:3 pbc="T T T"
Rh 1.1244 -3.4800 -2.9984
Rh 1.7633 -4.3640 -0.4597
Rh 3.7235 -3.4045 -2.1226
Rh -0.7421 -1.7790 -1.8818
Rh -0.1263 -2.6309 0.5648
Rh 1.8439 -1.6859 -1.0511
Rh 2.5164 -2.6003 1.4659
Rh -1.4402 -3.5875 -3.8914
W 0.0000 0.0000 0.0000
```

| no. | ΔE_f (eV/atom) | total moment (μB per formula unit) | energy (eV/atom) |
| --- | --- | --- | --- |
| 1 | 0.0775 | 0.000 | -11.48 |
| 2 | -0.1736 | 0.000 | -8.46 |
| 3 | -0.1268 | 0.000 | -8.41 |
| 4 | 0.1731 | 0.000 | -10.91 |
| 5 | -0.0117 | 0.000 | -10.16 |
| 6 | -0.1400 | 0.000 | -8.43 |
| 7 | 0.3926 | 0.000 | -10.69 |
| 8 | 0.1466 | 0.000 | -11.41 |
| 9 | 1.0617 | 0.000 | -10.02 |
| 10 | -0.1581 | 0.000 | -10.31 |
| 11 | 0.1068 | 0.000 | -11.45 |
| 12 | -0.1383 | 0.000 | -8.11 |